*a*
Here is a relaxed structure of HfZnPb from Alexandria via LeMat-Bulk. Energies are from GGA-PBE.

```
3
Lattice="4.373 0.000 0.000 -2.186 3.787 0.000 0.000 0.000 3.952" Properties=species:S:1:pos:R:3 pbc="T T T"
Hf 0.000 0.000 0.000
Zn 2.186 1.262 1.076
Pb 0.000 2.524 2.203
```

Values from the calculation:
D(E_F), states/eV/f.u.: 0.69

***

*b*
Here is a relaxed structure of HfZnPb from Alexandria via LeMat-Bulk. Energies are from GGA-PBE.

```
6
Lattice="3.161 0.000 0.000 -0.002 3.197 0.000 -0.554 -0.005 13.387" Properties=species:S:1:pos:R:3 pbc="T T T"
Hf 0.000 0.000 0.000
Hf 0.006 0.001 3.654
Zn 1.584 1.599 1.795
Zn 1.583 1.599 5.452
Pb 0.060 0.001 7.671
Pb 1.047 1.592 10.942
```

Values from the calculation:
D(E_F), states/eV/f.u.: 2.22

***

It is *b* that is most stable; the runner-up trails by 189 meV per atom.